Entry from Alexandria via LeMat-Bulk: Mg2FeOs after structural relaxation (PBE).

Lattice parameters (Å, degrees): 4.4086 4.4086 4.4086 60.00 60.00 60.00
Last column: magnetic moment on the atom in μB.
Fractional positions:
1 Fe 0.5000 0.5000 0.5000  2.63
2 Os 0.7500 0.7500 0.7500  0.63
3 Mg 0.0000 0.0000 0.0000  0.00
4 Mg 0.2500 0.2500 0.2500  -0.02

Calculated values
- SG = F-43m, No. 216
- D(E_F) (states/eV per cell) = 3.236
- energy relative to the elements (kJ/mol of formula units) = 85
- volume (Å³/cell) = 60.6
- calculated density (g/cm3) = 8.077
- energy relative to the lowest polymorph listed for this composition (meV/atom) = 110